1.
Here is an optimized crystal structure of SrAlGaPdAu from OQMD via LeMat-Bulk. Energies are from GGA-PBE.

```
SrAlGaPdAu
1.0
4.474 0.000 0.000
0.000 4.474 0.000
0.000 0.000 10.558
Sr Al Ga Pd Au
2 2 2 2 2
Direct
0.250 0.250 0.241 Sr
0.750 0.750 0.759 Sr
0.250 0.750 0.500 Al
0.750 0.250 0.500 Al
0.250 0.250 0.885 Ga
0.750 0.750 0.115 Ga
0.250 0.750 0.000 Pd
0.750 0.250 0.000 Pd
0.250 0.250 0.632 Au
0.750 0.750 0.368 Au
```

The space-group type is P4/nmm. The offset from the most stable computed form is 0.0000 eV per atom.

2.
Here is an optimized crystal structure of SrAlGaPdAu from OQMD via LeMat-Bulk. Energies are from GGA-PBE.

```
SrAlGaPdAu
1.0
4.549 0.000 0.000
0.000 4.549 0.000
0.000 0.000 10.270
Sr Al Ga Pd Au
2 2 2 2 2
Direct
0.250 0.250 0.246 Sr
0.750 0.750 0.754 Sr
0.250 0.250 0.893 Al
0.750 0.750 0.107 Al
0.250 0.750 0.500 Ga
0.750 0.250 0.500 Ga
0.250 0.750 0.000 Pd
0.750 0.250 0.000 Pd
0.250 0.250 0.642 Au
0.750 0.750 0.358 Au
```

The space-group type is P4/nmm. The offset from the most stable computed form is 0.0014 eV per atom.

3.
Here is an optimized crystal structure of SrAlGaPdAu from OQMD via LeMat-Bulk. Energies are from GGA-PBE.

```
SrAlGaPdAu
1.0
4.495 0.000 0.000
0.000 4.495 0.000
0.000 0.000 10.509
Sr Al Ga Pd Au
2 2 2 2 2
Direct
0.250 0.250 0.247 Sr
0.750 0.750 0.753 Sr
0.250 0.750 0.500 Al
0.750 0.250 0.500 Al
0.250 0.250 0.864 Ga
0.750 0.750 0.136 Ga
0.250 0.250 0.620 Pd
0.750 0.750 0.380 Pd
0.250 0.750 0.000 Au
0.750 0.250 0.000 Au
```

The space-group type is P4/nmm. The offset from the most stable computed form is 0.0318 eV per atom.

4.
Here is an optimized crystal structure of RbAlGaAu from OQMD via LeMat-Bulk. Energies are from GGA-PBE.

```
RbAlGaAu
1.0
7.330 0.000 0.000
0.000 7.330 0.000
0.000 0.000 7.330
Rb Al Ga Au
4 4 4 4
Direct
0.000 0.000 0.000 Rb
0.000 0.500 0.500 Rb
0.500 0.000 0.500 Rb
0.500 0.500 0.000 Rb
0.000 0.000 0.500 Al
0.000 0.500 0.000 Al
0.500 0.000 0.000 Al
0.500 0.500 0.500 Al
0.250 0.250 0.250 Ga
0.250 0.750 0.750 Ga
0.750 0.250 0.750 Ga
0.750 0.750 0.250 Ga
0.250 0.250 0.750 Au
0.250 0.750 0.250 Au
0.750 0.250 0.250 Au
0.750 0.750 0.750 Au
```

The space-group type is F-43m. The offset from the most stable computed form is 0.0000 eV per atom.

5.
Here is an optimized crystal structure of RbAlGaAu from OQMD via LeMat-Bulk. Energies are from GGA-PBE.

```
RbAlGaAu
1.0
7.372 0.000 0.000
0.000 7.372 0.000
0.000 0.000 7.372
Rb Al Ga Au
4 4 4 4
Direct
0.000 0.000 0.000 Rb
0.000 0.500 0.500 Rb
0.500 0.000 0.500 Rb
0.500 0.500 0.000 Rb
0.250 0.250 0.250 Al
0.250 0.750 0.750 Al
0.750 0.250 0.750 Al
0.750 0.750 0.250 Al
0.000 0.000 0.500 Ga
0.000 0.500 0.000 Ga
0.500 0.000 0.000 Ga
0.500 0.500 0.500 Ga
0.250 0.250 0.750 Au
0.250 0.750 0.250 Au
0.750 0.250 0.250 Au
0.750 0.750 0.750 Au
```

The space-group type is F-43m. The offset from the most stable computed form is 0.0764 eV per atom.

6.
Here is an optimized crystal structure of RbAlGaAu from OQMD via LeMat-Bulk. Energies are from GGA-PBE.

```
RbAlGaAu
1.0
7.177 0.000 0.000
0.000 7.177 0.000
0.000 0.000 7.177
Rb Al Ga Au
4 4 4 4
Direct
0.000 0.000 0.000 Rb
0.000 0.500 0.500 Rb
0.500 0.000 0.500 Rb
0.500 0.500 0.000 Rb
0.250 0.250 0.750 Al
0.250 0.750 0.250 Al
0.750 0.250 0.250 Al
0.750 0.750 0.750 Al
0.250 0.250 0.250 Ga
0.250 0.750 0.750 Ga
0.750 0.250 0.750 Ga
0.750 0.750 0.250 Ga
0.000 0.000 0.500 Au
0.000 0.500 0.000 Au
0.500 0.000 0.000 Au
0.500 0.500 0.500 Au
```

The space-group type is F-43m. The offset from the most stable computed form is 0.0200 eV per atom.

7.
Here is an optimized crystal structure of SmAlGaAu2 from OQMD via LeMat-Bulk. Energies are from GGA-PBE.

```
SmAlGaAu2
1.0
4.411 0.000 0.000
0.000 4.411 0.000
0.000 0.000 10.491
Sm Al Ga Au
2 2 2 4
Direct
0.250 0.250 0.248 Sm
0.750 0.750 0.752 Sm
0.250 0.250 0.629 Al
0.750 0.750 0.371 Al
0.250 0.750 0.000 Ga
0.750 0.250 0.000 Ga
0.250 0.250 0.864 Au
0.250 0.750 0.500 Au
0.750 0.250 0.500 Au
0.750 0.750 0.136 Au
```

The space-group type is P4/nmm. The offset from the most stable computed form is 0.0057 eV per atom. The total moment comes out at 0.01 μB per formula unit.

8.
Here is an optimized crystal structure of SmAlGaAu2 from OQMD via LeMat-Bulk. Energies are from GGA-PBE.

```
SmAlGaAu2
1.0
4.378 0.000 0.000
0.000 4.378 0.000
0.000 0.000 10.648
Sm Al Ga Au
2 2 2 4
Direct
0.250 0.250 0.247 Sm
0.750 0.750 0.753 Sm
0.250 0.750 0.500 Al
0.750 0.250 0.500 Al
0.250 0.250 0.864 Ga
0.750 0.750 0.136 Ga
0.250 0.250 0.628 Au
0.250 0.750 0.000 Au
0.750 0.250 0.000 Au
0.750 0.750 0.372 Au
```

The space-group type is P4/nmm. The offset from the most stable computed form is 0.0000 eV per atom. The total moment comes out at 0.01 μB per formula unit.

Question: offset from the most stable computed form of number 8 (SmAlGaAu2)?
Answer: 0.0000 eV per atom